The following is a PBE calculation of a relaxed structure of Cs6Cd2O, from Alexandria.

The structure in POSCAR format:
```
Cs6Cd2O
1.0
8.6490 1.1190 0.0000
-2.2761 9.5848 0.0000
0.0000 0.0000 12.2231
Cs Cd O
12 4 2
Direct
0.7788 0.9830 0.6205 Cs
0.6566 0.9268 0.2942 Cs
0.7212 0.5170 0.1205 Cs
0.0945 0.7907 0.0429 Cs
0.9055 0.2093 0.9571 Cs
0.1566 0.4268 0.2058 Cs
0.3434 0.0732 0.7058 Cs
0.2788 0.4830 0.8795 Cs
0.5945 0.2907 0.4571 Cs
0.4055 0.7093 0.5429 Cs
0.8434 0.5732 0.7942 Cs
0.2212 0.0170 0.3795 Cs
0.5609 0.8752 0.9526 Cd
0.0609 0.3752 0.5474 Cd
0.9391 0.6248 0.4526 Cd
0.4391 0.1248 0.0474 Cd
0.5000 0.0000 0.5000 O
0.0000 0.5000 0.0000 O
```

Values from the calculation:
Calculated volume in Å³ per atom: 58.0
Space-group type: P2_1/c
Formation energy from raw total energies in eV per formula unit: -3.11
E_tot in eV per atom: -1.669
Magnetic moment in μB/atom: 0.0000
D(E_F) in states/eV per cell: 12.88

=====

The following is a PBE calculation of a relaxed structure of Hf3ScSn, from Alexandria.

The structure in POSCAR format:
```
Hf3ScSn
1.0
-5.0664 1.1779 -0.7352
-0.2852 -3.6050 -3.8104
-1.3589 -3.6350 3.5407
Sc Hf Sn
1 3 1
Direct
0.5000 0.5000 0.5000 Sc
0.5000 0.0000 0.0000 Hf
0.0000 0.0000 0.5000 Hf
0.0000 0.5000 0.0000 Hf
0.0000 0.0000 0.0000 Sn
```

Values from the calculation:
Calculated volume in Å³ per atom: 29.0
ΔE_f in eV/atom: 0.93
Space-group type: Pm-3m
E_tot in eV per atom: -7.108
Magnetic moment in μB/atom: 0.0000
D(E_F) in states/eV per cell: 6.58
Energy above the most stable polymorph in this dataset in meV/atom: 913

=====

The following is a PBE calculation of a relaxed structure of YLuCoRu, from Alexandria.

The structure in POSCAR format:
```
YLuCoRu
1.0
4.7253 0.0000 0.0000
2.3626 4.0922 0.0000
2.3626 1.3641 3.8582
Y Co Lu Ru
1 1 1 1
Direct
0.2500 0.2500 0.2500 Y
0.0000 0.0000 0.0000 Co
0.7500 0.7500 0.7500 Lu
0.5000 0.5000 0.5000 Ru
```

Values from the calculation:
Calculated volume in Å³ per atom: 18.7
ΔE_f in eV/atom: -0.29
Space-group type: F-43m
E_tot in eV per atom: -7.130
Magnetic moment in μB/atom: 0.0000
D(E_F) in states/eV per cell: 3.73